No. 1
InCu4: optimized geometry, PBE.

Unit cell a=5.004 b=5.004 c=5.004 alpha=109.47 beta=109.47 gamma=109.47
Sites, in units of the cell vectors:
In: 0.000 0.000 0.000
Cu: 0.000 0.500 0.000
Cu: 0.500 0.000 0.000
Cu: 0.000 0.000 0.500
Cu: 0.500 0.500 0.500

Summary:
The calculated formation energy comes out at 0.686 eV/atom. As for the magnetization: 0.000 μB/f.u.


No. 2
BaCaLa2Tc: optimized geometry, PBE.

Unit cell a=5.514 b=5.514 c=6.185 alpha=90.00 beta=90.00 gamma=90.00
Sites, in units of the cell vectors:
La: 0.500 0.000 0.000
La: 0.000 0.500 0.000
Tc: 0.000 0.000 0.000
Ca: 0.000 0.000 0.500
Ba: 0.500 0.500 0.500

Summary:
The calculated formation energy comes out at 0.070 eV/atom. The energy relative to the lowest polymorph listed for this composition is 0 meV/atom. As for the magnetization: 0.000 μB/f.u.


No. 3
Dy3YCd: optimized geometry, PBE.

Unit cell a=3.649 b=6.732 c=12.614 alpha=85.67 beta=90.00 gamma=74.27
Sites, in units of the cell vectors:
Cd: 0.441 0.117 0.373
Cd: 0.559 0.883 0.627
Dy: 0.034 0.931 0.190
Dy: 0.146 0.709 0.447
Dy: 0.966 0.069 0.810
Dy: 0.854 0.291 0.553
Dy: 0.634 0.731 0.980
Dy: 0.366 0.269 0.020
Y: 0.768 0.464 0.247
Y: 0.232 0.536 0.753

Summary:
The calculated formation energy comes out at -0.114 eV/atom. The energy relative to the lowest polymorph listed for this composition is 0 meV/atom. As for the magnetization: 0.112 μB/f.u.


No. 4
K3YNp2Te6: optimized geometry, PBE.

Unit cell a=7.869 b=7.869 c=8.638 alpha=98.73 beta=98.73 gamma=120.00
Site moments in Bohr magnetons follow the coordinates.
Sites, in units of the cell vectors:
Te: 0.401 0.070 0.210  -0.05
Te: 0.599 0.930 0.790  -0.05
Te: 0.930 0.599 0.790  -0.05
Te: 0.739 0.739 0.210  -0.05
Te: 0.070 0.401 0.210  -0.05
Te: 0.261 0.261 0.790  -0.05
K: 0.833 0.167 0.500  0.00
K: 0.167 0.833 0.500  0.00
K: 0.500 0.500 0.500  0.00
Np: 0.333 0.667 0.000  4.01
Np: 0.667 0.333 0.000  4.01
Y: 0.000 0.000 0.000  0.04

Summary:
Its formation energy (no corrections) is -1.0594 eV/atom. As for the magnetization: 8.000 μB/f.u.


No. 5
Ac2PmNi2: optimized geometry, PBE.

Unit cell a=4.111 b=4.528 c=7.733 alpha=107.02 beta=90.00 gamma=90.00
Sites, in units of the cell vectors:
Ac: 0.500 0.647 0.294
Ac: 0.500 0.353 0.706
Ni: 0.000 0.200 0.400
Ni: 0.000 0.800 0.600
Pm: 0.000 0.000 0.000

Summary:
The calculated formation energy comes out at -0.188 eV/atom. The energy relative to the lowest polymorph listed for this composition is 33 meV/atom. As for the magnetization: 0.000 μB/f.u.


No. 6
Sm2Zn2InPt5: optimized geometry, PBE.

Unit cell a=3.864 b=9.785 c=9.785 alpha=90.00 beta=90.00 gamma=90.00
Sites, in units of the cell vectors:
Zn: 0.000 0.620 0.880
Zn: 0.000 0.880 0.380
Zn: 0.000 0.380 0.120
Zn: 0.000 0.120 0.620
Sm: 0.000 0.323 0.823
Sm: 0.000 0.823 0.677
Sm: 0.000 0.177 0.323
Sm: 0.000 0.677 0.177
Pt: 0.500 0.791 0.935
Pt: 0.500 0.935 0.209
Pt: 0.500 0.709 0.435
Pt: 0.500 0.291 0.565
Pt: 0.500 0.000 0.500
Pt: 0.500 0.500 0.000
Pt: 0.500 0.065 0.791
Pt: 0.500 0.435 0.291
Pt: 0.500 0.209 0.065
Pt: 0.500 0.565 0.709
In: 0.000 0.000 0.000
In: 0.000 0.500 0.500

Summary:
The calculated formation energy comes out at -0.807 eV/atom. As for the magnetization: 0.000 μB/f.u.


No. 7
RbNa2F: optimized geometry, PBE.

Unit cell a=3.834 b=3.834 c=10.780 alpha=79.76 beta=79.76 gamma=60.00
Sites, in units of the cell vectors:
Na: 0.873 0.873 0.382
Na: 0.127 0.127 0.618
F: 0.500 0.500 0.500
Rb: 0.000 0.000 0.000

Summary:
The energy relative to the lowest polymorph listed for this composition is 86 meV/atom. Its formation energy (no corrections) is -1.1057 eV/atom. As for the magnetization: 0.000 μB/f.u.


No. 8
InSn2Hg2: optimized geometry, PBE.

Unit cell a=4.594 b=4.594 c=7.602 alpha=72.41 beta=72.41 gamma=90.00
Sites, in units of the cell vectors:
Hg: 0.602 0.602 0.797
Hg: 0.398 0.398 0.203
Sn: 0.250 0.750 0.500
Sn: 0.750 0.250 0.500
In: 0.000 0.000 0.000

Summary:
The calculated formation energy comes out at 0.115 eV/atom. The energy relative to the lowest polymorph listed for this composition is 23 meV/atom. As for the magnetization: 0.000 μB/f.u.


No. 9
LiLaW3: optimized geometry, PBE.

Unit cell a=4.538 b=4.538 c=4.538 alpha=90.00 beta=90.00 gamma=90.00
Sites, in units of the cell vectors:
W: 0.000 0.000 0.500
W: 0.500 0.000 0.000
W: 0.000 0.500 0.000
Li: 0.000 0.000 0.000
La: 0.500 0.500 0.500

Summary:
The calculated formation energy comes out at 1.631 eV/atom. The energy relative to the lowest polymorph listed for this composition is 0 meV/atom. As for the magnetization: 0.000 μB/f.u.


No. 10
ZnSiSe2: optimized geometry, PBE.

Unit cell a=4.744 b=4.744 c=4.744 alpha=60.00 beta=60.00 gamma=60.00
Sites, in units of the cell vectors:
Se: 0.000 0.000 0.000
Se: 0.250 0.250 0.250
Si: 0.500 0.500 0.500
Zn: 0.750 0.750 0.750

Summary:
Its formation energy (no corrections) is 0.5059 eV/atom. As for the magnetization: 0.000 μB/f.u.


No. 11
Zr2Mo: optimized geometry, PBE.

Unit cell a=4.601 b=4.601 c=3.255 alpha=90.00 beta=90.00 gamma=90.00
Sites, in units of the cell vectors:
Zr: 0.000 0.500 0.500
Zr: 0.500 0.000 0.500
Mo: 0.000 0.000 0.000

Summary:
The calculated formation energy comes out at 0.442 eV/atom. The energy relative to the lowest polymorph listed for this composition is 443 meV/atom. As for the magnetization: 0.000 μB/f.u.


No. 12
TiMnIr3: optimized geometry, PBE.

Unit cell a=4.440 b=4.440 c=4.440 alpha=90.00 beta=90.00 gamma=90.00
Sites, in units of the cell vectors:
Ir: 0.000 0.500 0.000
Ir: 0.500 0.000 0.000
Ir: 0.000 0.000 0.500
Mn: 0.000 0.000 0.000
Ti: 0.500 0.500 0.500

Summary:
The calculated formation energy comes out at 0.965 eV/atom. The energy relative to the lowest polymorph listed for this composition is 0 meV/atom. As for the magnetization: 0.000 μB/f.u.


No. 13
Y2SiNF: optimized geometry, PBE.

Unit cell a=4.829 b=3.906 c=4.829 alpha=90.00 beta=90.00 gamma=90.00
Sites, in units of the cell vectors:
N: 0.000 0.000 0.000
Y: 0.500 0.000 0.000
Y: 0.000 0.000 0.500
F: 0.000 0.500 0.000
Si: 0.500 0.500 0.500

Summary:
Its formation energy (no corrections) is -0.7907 eV/atom. As for the magnetization: 0.000 μB/f.u.


No. 14
Al3GeP: optimized geometry, PBE.

Unit cell a=4.679 b=4.679 c=4.679 alpha=90.00 beta=90.00 gamma=90.00
Sites, in units of the cell vectors:
Al: 0.500 0.000 0.000
Al: 0.000 0.000 0.500
Al: 0.000 0.500 0.000
Ge: 0.500 0.500 0.500
P: 0.000 0.000 0.000

Summary:
The calculated formation energy comes out at 0.434 eV/atom. The energy relative to the lowest polymorph listed for this composition is 0 meV/atom. As for the magnetization: 0.000 μB/f.u.


No. 15
Mn2CrFeGe: optimized geometry, PBE.

Unit cell a=4.262 b=4.262 c=4.527 alpha=90.00 beta=90.00 gamma=90.00
Site moments in Bohr magnetons follow the coordinates.
Sites, in units of the cell vectors:
Ge: 0.000 0.000 0.500  -0.01
Mn: 0.000 0.500 0.000  2.60
Mn: 0.500 0.000 0.000  2.60
Cr: 0.000 0.000 0.000  -1.09
Fe: 0.500 0.500 0.500  3.00

Summary:
The calculated formation energy comes out at 1.086 eV/atom. As for the magnetization: 7.290 μB/f.u.


No. 16
CsTlH2: optimized geometry, PBE.

Unit cell a=4.516 b=4.515 c=18.211 alpha=90.00 beta=90.00 gamma=120.00
Sites, in units of the cell vectors:
H: 0.308 0.056 0.072
H: 0.056 0.308 0.928
H: 0.251 0.944 0.595
H: 0.692 0.749 0.261
H: 0.944 0.251 0.405
H: 0.749 0.692 0.739
Cs: 0.420 0.000 0.833
Cs: 0.580 0.580 0.500
Cs: 0.000 0.420 0.167
Tl: 0.138 0.000 0.333
Tl: 0.862 0.862 0.000
Tl: 0.000 0.138 0.667

Summary:
The energy relative to the lowest polymorph listed for this composition is 0 meV/atom. As for the magnetization: 0.000 μB/f.u.


No. 17
Zn3HgPt: optimized geometry, PBE.

Unit cell a=4.896 b=4.896 c=4.896 alpha=90.00 beta=90.00 gamma=90.00
Sites, in units of the cell vectors:
Hg: 0.500 0.500 0.500
Zn: 0.500 0.000 0.000
Zn: 0.000 0.000 0.500
Zn: 0.000 0.500 0.000
Pt: 0.000 0.000 0.000

Summary:
The calculated formation energy comes out at -0.064 eV/atom. The energy relative to the lowest polymorph listed for this composition is 0 meV/atom. As for the magnetization: 0.000 μB/f.u.


No. 18
Nd2YNi: optimized geometry, PBE.

Unit cell a=3.858 b=3.858 c=9.499 alpha=78.28 beta=78.28 gamma=60.00
Sites, in units of the cell vectors:
Nd: 0.061 0.061 0.817
Nd: 0.272 0.272 0.183
Ni: 0.666 0.666 0.001
Y: 0.500 0.500 0.499

Summary:
The calculated formation energy comes out at -0.031 eV/atom. The energy relative to the lowest polymorph listed for this composition is 160 meV/atom. As for the magnetization: 0.005 μB/f.u.


No. 19
Nd3SnS6: optimized geometry, PBE.

Unit cell a=6.875 b=8.768 c=8.768 alpha=102.18 beta=90.00 gamma=90.00
Sites, in units of the cell vectors:
Nd: 0.887 0.598 0.402
Nd: 0.987 0.085 0.289
Nd: 0.987 0.711 0.915
Nd: 0.487 0.915 0.711
Nd: 0.387 0.402 0.598
Nd: 0.487 0.289 0.085
S: 0.687 0.903 0.423
S: 0.687 0.577 0.097
S: 0.185 0.692 0.635
S: 0.743 0.991 0.009
S: 0.185 0.365 0.308
S: 0.640 0.231 0.769
S: 0.685 0.308 0.365
S: 0.243 0.009 0.991
S: 0.187 0.423 0.903
S: 0.140 0.769 0.231
S: 0.685 0.635 0.692
S: 0.187 0.097 0.577
Sn: 0.997 0.170 0.830
Sn: 0.497 0.830 0.170

Summary:
Its formation energy (no corrections) is -1.6078 eV/atom. As for the magnetization: 0.000 μB/f.u.


No. 20
La15Tb4Al: optimized geometry, PBE.

Unit cell a=5.155 b=5.155 c=25.960 alpha=90.00 beta=90.00 gamma=90.00
Sites, in units of the cell vectors:
La: 0.500 0.000 0.297
La: 0.500 0.000 0.906
La: 0.500 0.500 0.000
La: 0.500 0.000 0.703
La: 0.000 0.500 0.906
La: 0.500 0.000 0.500
La: 0.500 0.500 0.602
La: 0.500 0.500 0.197
La: 0.500 0.500 0.803
La: 0.000 0.500 0.500
La: 0.500 0.000 0.094
La: 0.000 0.500 0.094
La: 0.000 0.500 0.297
La: 0.500 0.500 0.398
La: 0.000 0.500 0.703
Tb: 0.000 0.000 0.399
Tb: 0.000 0.000 0.804
Tb: 0.000 0.000 0.601
Tb: 0.000 0.000 0.196
Al: 0.000 0.000 0.000

Summary:
The calculated formation energy comes out at -0.020 eV/atom. As for the magnetization: 0.000 μB/f.u.


No. 21
NaSrHf2: optimized geometry, PBE.

Unit cell a=5.406 b=5.406 c=5.406 alpha=60.00 beta=60.00 gamma=60.00
Sites, in units of the cell vectors:
Hf: 0.250 0.250 0.250
Hf: 0.750 0.750 0.750
Na: 0.000 0.000 0.000
Sr: 0.500 0.500 0.500

Summary:
The calculated formation energy comes out at 1.107 eV/atom. The energy relative to the lowest polymorph listed for this composition is 0 meV/atom. As for the magnetization: 0.000 μB/f.u.


No. 22
CaAc2Ge3Rh4: optimized geometry, PBE.

Unit cell a=4.287 b=4.287 c=11.326 alpha=90.00 beta=90.00 gamma=90.00
Sites, in units of the cell vectors:
Ge: 0.000 0.500 0.117
Ge: 0.500 0.000 0.883
Ge: 0.000 0.000 0.500
Rh: 0.000 0.000 0.000
Rh: 0.000 0.500 0.341
Rh: 0.500 0.500 0.000
Rh: 0.500 0.000 0.659
Ac: 0.500 0.000 0.238
Ac: 0.000 0.500 0.762
Ca: 0.500 0.500 0.500

Summary:
The calculated formation energy comes out at -0.782 eV/atom. As for the magnetization: 0.000 μB/f.u.


No. 23
Th2ZrPt2: optimized geometry, PBE.

Unit cell a=3.776 b=6.174 c=6.174 alpha=67.50 beta=72.19 gamma=72.19
Sites, in units of the cell vectors:
Th: 0.798 0.702 0.702
Th: 0.202 0.298 0.298
Pt: 0.500 0.709 0.291
Pt: 0.500 0.291 0.709
Zr: 0.000 0.000 0.000

Summary:
The calculated formation energy comes out at -0.893 eV/atom. As for the magnetization: 0.000 μB/f.u.


No. 24
Li2YAl: optimized geometry, PBE.

Unit cell a=6.688 b=6.688 c=6.688 alpha=151.86 beta=135.18 gamma=53.76
Sites, in units of the cell vectors:
Y: 0.500 0.500 0.000
Al: 0.000 0.000 0.000
Li: 0.222 0.222 0.000
Li: 0.778 0.778 0.000

Summary:
The calculated formation energy comes out at 0.087 eV/atom. As for the magnetization: 0.000 μB/f.u.


No. 25
Tb4Pr5Ho3: optimized geometry, PBE.

Unit cell a=5.856 b=5.751 c=14.489 alpha=84.31 beta=78.34 gamma=59.39
Sites, in units of the cell vectors:
Pr: 0.500 0.500 0.500
Pr: 0.200 0.345 0.255
Pr: 0.800 0.655 0.745
Pr: 0.669 0.663 0.999
Pr: 0.331 0.337 0.001
Tb: 0.063 0.999 0.875
Tb: 0.182 0.996 0.640
Tb: 0.818 0.004 0.360
Tb: 0.937 0.001 0.125
Ho: 0.457 0.339 0.748
Ho: 0.000 0.500 0.500
Ho: 0.543 0.661 0.252

Summary:
The calculated formation energy comes out at 0.223 eV/atom. As for the magnetization: 0.000 μB/f.u.


no.,DOS(E_F) (states/eV per atom)
1,0.7804
2,1.1282
3,1.4353
4,1.5281
5,0.7617
6,0.4511
7,0.5263
8,0.3168
9,1.5350
10,0.4897
11,1.3536
12,1.6793
13,0.3638
14,0.2691
15,1.3682
16,0.0833
17,0.2806
18,1.3400
19,0.1596
20,1.3736
21,3.1532
22,0.7249
23,1.0167
24,0.7835
25,1.5902